1.
DFT (PBE) results for an optimized crystal structure of CdInAgPb.

Output
Total DFT energy (no corrections)   -10.1 eV per cell
V   24.49 Å³ per atom
Space group   Cm
Density   9.2 g cm⁻³

a = 3.2509 Å, b = 3.2509 Å, c = 9.2680 Å
α = 90.05°, β = 90.05°, γ = 90.00°
Fractional coordinates of all 4 atoms:
1 Cd 0.0000 0.0000 0.0000
2 In 0.0002 0.0002 0.5798
3 Ag 0.4992 0.4992 0.7987
4 Pb 0.5042 0.5042 0.2737


2.
DFT (PBE) results for an optimized crystal structure of La3PmHo7.

Output
V   34.85 Å³ per atom
Relative energy among the computed polymorphs   0 meV/atom
Space group   P3m1
Density   7.4 g cm⁻³

a = 7.0935 Å, b = 7.0935 Å, c = 8.7976 Å
α = 90.00°, β = 90.00°, γ = 120.00°
Fractional coordinates of all 11 atoms:
1 La 0.1670 0.3341 0.0000
2 La 0.1670 0.8330 0.0000
3 La 0.6659 0.8330 0.0000
4 Pm 0.0000 0.0000 0.3410
5 Ho 0.0013 0.5007 0.3418
6 Ho 0.3327 0.1663 0.6612
7 Ho 0.3333 0.6667 0.6597
8 Ho 0.4993 0.5007 0.3418
9 Ho 0.4993 0.9987 0.3418
10 Ho 0.8337 0.1663 0.6612
11 Ho 0.8337 0.6673 0.6612


Among the records above, which one has the highest density?
CdInAgPb


Which formula does entry 1 have?
CdInAgPb